Record 1
This record from Alexandria describes a geometry-optimized Ce2CoSb structure. The functional is PBE-GGA.

abc: 3.9389 6.2493 8.4665
angles: 110.65 90.00 90.00
Last column: magnetic moment on the atom in μB.
Element x y z (fractional)
Co1 0.2500 0.3689 0.7066  -0.21
Co2 0.7500 0.6311 0.2934  -0.21
Ce1 0.2500 0.7522 0.5401  0.47
Ce2 0.7500 0.6623 0.8843  0.40
Ce3 0.7500 0.2478 0.4599  0.47
Ce4 0.2500 0.3377 0.1157  0.40
Sb1 0.2500 0.8734 0.2018  -0.02
Sb2 0.7500 0.1266 0.7982  -0.02

Its distance to the lowest polymorph of the same formula is 0.000 eV per atom. As for the space group: P2_1/m.



Record 2
This record from Alexandria describes a geometry-optimized CeCoSb2 structure. The functional is PBE-GGA.

abc: 4.5297 4.5297 8.7458
angles: 74.99 74.99 60.00
Last column: magnetic moment on the atom in μB.
Element x y z (fractional)
Sb1 0.0988 0.0988 0.7036  0.03
Sb2 0.9012 0.9012 0.2964  0.03
Co1 0.0000 0.0000 0.0000  2.11
Ce1 0.5000 0.5000 0.5000  0.39

As for the space group: R-3m. The raw total energy is -4.92 eV/atom.



Record 3
This record from Alexandria describes a geometry-optimized CeScCo4 structure. The functional is PBE-GGA.

abc: 4.9290 4.9290 4.9290
angles: 60.00 60.00 60.00
Element x y z (fractional)
Co1 0.6259 0.6259 0.1223
Co2 0.6259 0.1223 0.6259
Co3 0.6259 0.6259 0.6259
Co4 0.1223 0.6259 0.6259
Ce1 0.2500 0.2500 0.2500
Sc1 0.0000 0.0000 0.0000

As for the energy relative to the elements: -0.25 eV/atom. As for the space group: F-43m.



Record 4
This record from Alexandria describes a geometry-optimized CeSc4Co5 structure. The functional is PBE-GGA.

abc: 3.1378 3.1378 16.1575
angles: 90.00 90.00 90.00
Last column: magnetic moment on the atom in μB.
Element x y z (fractional)
Co1 0.5000 0.5000 0.3071  -0.40
Co2 0.5000 0.5000 0.8856  0.57
Co3 0.5000 0.5000 0.6929  -0.40
Co4 0.5000 0.5000 0.5000  0.41
Co5 0.5000 0.5000 0.1144  0.57
Sc1 0.0000 0.0000 0.7891  -0.01
Sc2 0.0000 0.0000 0.4036  -0.01
Sc3 0.0000 0.0000 0.2109  -0.01
Sc4 0.0000 0.0000 0.5964  -0.01
Ce1 0.0000 0.0000 0.0000  -0.23

As for the energy relative to the elements: -0.29 eV/atom. As for the space group: P4/mmm.



Record 5
This record from Alexandria describes a geometry-optimized Ce2ScCo structure. The functional is PBE-GGA.

abc: 5.0189 5.0189 4.9926
angles: 59.83 59.83 60.00
Last column: magnetic moment on the atom in μB.
Element x y z (fractional)
Co1 0.0000 0.0000 0.0000  0.75
Sc1 0.5000 0.5000 0.5000  -0.07
Ce1 0.2495 0.2495 0.2516  -0.23
Ce2 0.7505 0.7505 0.7484  -0.23

As for the energy relative to the elements: 0.24 eV/atom. Its distance to the lowest polymorph of the same formula is 0.231 eV per atom. As for the space group: R-3m.



Record 6
This record from Alexandria describes a geometry-optimized CeSc3Co8 structure. The functional is PBE-GGA.

abc: 4.9119 4.9119 8.5448
angles: 73.30 73.30 60.00
Last column: magnetic moment on the atom in μB.
Element x y z (fractional)
Co1 0.9412 0.4388 0.1811  0.98
Co2 0.4388 0.9412 0.1811  0.98
Co3 0.1870 0.1870 0.4390  0.93
Co4 0.4388 0.4388 0.1811  0.98
Co5 0.9376 0.9376 0.6933  1.02
Co6 0.9376 0.4315 0.6933  1.02
Co7 0.6879 0.6879 0.9363  1.05
Co8 0.4315 0.9376 0.6933  1.02
Ce1 0.8753 0.8753 0.3741  -0.56
Sc1 0.0020 0.0020 0.9941  -0.23
Sc2 0.4976 0.4976 0.5072  -0.25
Sc3 0.3747 0.3747 0.8759  -0.23

As for the energy relative to the elements: -0.30 eV/atom. As for the space group: R3m.